K2SiSe | PBE | relaxed

Calculated values
The total energy comes out at -11.43 eV per cell. The formation energy from raw total energies comes out at -7.88 kJ per mole of atoms. The value obtained for the magnetic moment is 0.000 μB/cell.

Unit cell a=4.611 b=4.611 c=5.085 alpha=90.00 beta=90.00 gamma=90.00
Atoms (fractional coordinates):
1 K 0.000 0.500 0.000
2 K 0.500 0.000 0.000
3 Si 0.000 0.000 0.500
4 Se 0.500 0.500 0.500

KSiSe2 | PBE | relaxed

Calculated values
The total energy comes out at -14.95 eV per cell. The formation energy from raw total energies comes out at -35.34 kJ per mole of atoms. The value obtained for the magnetic moment is 0.000 μB/cell.

Unit cell a=6.017 b=6.017 c=6.017 alpha=146.42 beta=113.54 gamma=76.56
Atoms (fractional coordinates):
1 K 0.000 0.000 0.000
2 Si 0.500 0.500 0.000
3 Se 0.323 0.823 0.500
4 Se 0.677 0.177 0.500

K2SiSe3 | PBE | relaxed

Calculated values
The total energy comes out at -95.12 eV per cell. The formation energy from raw total energies comes out at -91.81 kJ per mole of atoms. The value obtained for the magnetic moment is 0.000 μB/cell.

Unit cell a=7.853 b=7.853 c=15.728 alpha=90.04 beta=90.04 gamma=127.28
Atoms (fractional coordinates):
1 K 0.056 0.444 0.647
2 K 0.144 0.355 0.063
3 K 0.355 0.144 0.563
4 K 0.444 0.056 0.147
5 K 0.556 0.944 0.853
6 K 0.645 0.856 0.437
7 K 0.856 0.645 0.937
8 K 0.944 0.556 0.353
9 Si 0.249 0.251 0.332
10 Si 0.251 0.249 0.832
11 Si 0.749 0.751 0.168
12 Si 0.751 0.749 0.668
13 Se 0.071 0.929 0.750
14 Se 0.094 0.406 0.851
15 Se 0.155 0.346 0.449
16 Se 0.346 0.155 0.949
17 Se 0.406 0.094 0.351
18 Se 0.429 0.571 0.250
19 Se 0.571 0.429 0.750
20 Se 0.594 0.906 0.649
21 Se 0.654 0.845 0.051
22 Se 0.845 0.654 0.551
23 Se 0.906 0.594 0.149
24 Se 0.929 0.071 0.250

KSi2Se | PBE | relaxed

Calculated values
The total energy comes out at -13.86 eV per cell. The formation energy from raw total energies comes out at 37.74 kJ per mole of atoms. The value obtained for the magnetic moment is 0.000 μB/cell.

Unit cell a=6.394 b=6.394 c=2.855 alpha=101.19 beta=101.19 gamma=124.25
Atoms (fractional coordinates):
1 K 0.000 0.000 0.000
2 Si 0.000 0.500 0.000
3 Si 0.500 0.000 0.000
4 Se 0.500 0.500 0.000

KSiSe2 | PBE | relaxed

Calculated values
The total energy comes out at -31.41 eV per cell. The formation energy from raw total energies comes out at -53.48 kJ per mole of atoms. The value obtained for the magnetic moment is 0.000 μB/cell.

Unit cell a=7.378 b=7.378 c=7.378 alpha=122.71 beta=122.71 gamma=85.36
Atoms (fractional coordinates):
1 K 0.000 0.000 0.000
2 K 0.750 0.250 0.500
3 Si 0.250 0.750 0.500
4 Si 0.500 0.500 0.000
5 Se 0.234 0.625 0.109
6 Se 0.375 0.484 0.609
7 Se 0.516 0.125 0.891
8 Se 0.875 0.766 0.391

KSiSe2 | PBE | relaxed

Calculated values
The total energy comes out at -13.97 eV per cell. The formation energy from raw total energies comes out at -11.61 kJ per mole of atoms. The value obtained for the magnetic moment is 0.000 μB/cell.

Unit cell a=3.440 b=3.440 c=7.986 alpha=90.00 beta=90.00 gamma=90.00
Atoms (fractional coordinates):
1 K 0.000 0.000 0.000
2 Si 0.000 0.000 0.500
3 Se 0.500 0.500 0.299
4 Se 0.500 0.500 0.701

KSi2Se | PBE | relaxed

Calculated values
The total energy comes out at -14.37 eV per cell. The formation energy from raw total energies comes out at 25.48 kJ per mole of atoms. The value obtained for the magnetic moment is 0.000 μB/cell.

Unit cell a=5.970 b=5.970 c=5.970 alpha=147.32 beta=127.12 gamma=63.56
Atoms (fractional coordinates):
1 K 0.000 0.000 0.000
2 Si 0.293 0.793 0.500
3 Si 0.707 0.207 0.500
4 Se 0.500 0.500 0.000

KSiSe2 | PBE | relaxed

Calculated values
The total energy comes out at -13.73 eV per cell. The formation energy from raw total energies comes out at -5.76 kJ per mole of atoms. The value obtained for the magnetic moment is 0.000 μB/cell.

Unit cell a=3.282 b=3.282 c=9.674 alpha=90.00 beta=90.00 gamma=90.00
Atoms (fractional coordinates):
1 K 0.000 0.000 0.000
2 Si 0.500 0.500 0.719
3 Se 0.000 0.000 0.607
4 Se 0.500 0.500 0.243

KSi2Se | PBE | relaxed

Calculated values
The total energy comes out at -15.12 eV per cell. The formation energy from raw total energies comes out at 7.33 kJ per mole of atoms. The value obtained for the magnetic moment is 0.000 μB/cell.

Unit cell a=3.703 b=3.793 c=6.925 alpha=90.00 beta=90.00 gamma=90.00
Atoms (fractional coordinates):
1 K 0.000 0.000 0.000
2 Si 0.000 0.000 0.467
3 Si 0.500 0.500 0.386
4 Se 0.500 0.500 0.721

KSiSe2 | PBE | relaxed

Calculated values
The total energy comes out at -14.55 eV per cell. The formation energy from raw total energies comes out at -25.63 kJ per mole of atoms. The value obtained for the magnetic moment is 0.408 μB/cell.

Unit cell a=6.990 b=6.990 c=8.770 alpha=90.00 beta=90.00 gamma=150.61
Atoms (fractional coordinates):
1 K 0.000 0.000 0.000
2 Si 0.000 0.000 0.500
3 Se 0.500 0.500 0.307
4 Se 0.500 0.500 0.693

KSi2Se | PBE | relaxed

Calculated values
The total energy comes out at -15.48 eV per cell. The formation energy from raw total energies comes out at -1.22 kJ per mole of atoms. The value obtained for the magnetic moment is 0.000 μB/cell.

Unit cell a=3.959 b=4.816 c=5.673 alpha=90.00 beta=98.43 gamma=90.00
Atoms (fractional coordinates):
1 K 0.000 0.000 0.000
2 Si 0.279 0.500 0.622
3 Si 0.721 0.500 0.378
4 Se 0.500 0.000 0.500

KSi2Se | PBE | relaxed

Calculated values
The total energy comes out at -13.62 eV per cell. The formation energy from raw total energies comes out at 43.58 kJ per mole of atoms. The value obtained for the magnetic moment is 0.000 μB/cell.

Unit cell a=5.308 b=5.308 c=5.308 alpha=129.14 beta=129.14 gamma=74.79
Atoms (fractional coordinates):
1 K 0.000 0.000 0.000
2 Si 0.500 0.500 0.000
3 Si 0.750 0.250 0.500
4 Se 0.250 0.750 0.500